1.
This record from Alexandria describes a geometry-optimized Ac2SbPdSe6 structure. The functional is PBE.

Formation energy from raw total energies   -1.101 eV per atom

Lattice parameters (Å, degrees): 6.669 8.018 12.067 90.00 122.45 90.00
Space group P2_1/c (No. 14)
One atom of each set of equivalent atoms:
1 Ac 0.191 0.109 0.249 x4
2 Sb 0.500 0.000 0.000 x2
3 Pd 0.000 0.000 0.500 x2
4 Se 0.116 0.190 0.956 x4
5 Se 0.277 0.672 0.955 x4
6 Se 0.350 0.023 0.739 x4



2.
This record from Alexandria describes a geometry-optimized AcSiSbPd structure. The functional is PBE.

Formation energy from raw total energies   -0.310 eV per atom

Lattice parameters (Å, degrees): 7.278 7.278 7.278 90.00 90.00 90.00
Space group F-43m (No. 216)
One atom of each set of equivalent atoms:
1 Ac 0.000 0.000 0.000 x4
2 Si 0.250 0.250 0.750 x4
3 Sb 0.000 0.000 0.500 x4
4 Pd 0.250 0.250 0.250 x4



3.
This record from Alexandria describes a geometry-optimized Ac3Si2SbPd9 structure. The functional is PBE.

Formation energy from raw total energies   -0.715 eV per atom

Lattice parameters (Å, degrees): 6.5714 6.5714 9.0000 90.00 90.00 120.00
Space group P-3m1 (No. 164)
One atom of each set of equivalent atoms:
1 Ac 0.0000 0.0000 0.0000 x1
2 Ac 0.3333 0.6667 0.6740 x2
3 Si 0.3333 0.6667 0.1656 x2
4 Sb 0.0000 0.0000 0.5000 x1
5 Pd 0.0000 0.5000 0.0000 x3
6 Pd 0.1513 0.3027 0.2791 x6



4.
This record from Alexandria describes a geometry-optimized Ac4Si3SbPd12 structure. The functional is PBE.

Formation energy from raw total energies   -0.663 eV per atom

Lattice parameters (Å, degrees): 9.610 9.610 9.610 90.00 90.00 90.00
Space group Im-3m (No. 229)
One atom of each set of equivalent atoms:
1 Ac 0.250 0.250 0.250 x8
2 Si 0.000 0.000 0.500 x6
3 Sb 0.000 0.000 0.000 x2
4 Pd 0.000 0.000 0.266 x12
5 Pd 0.000 0.250 0.500 x12



5.
This record from Alexandria describes a geometry-optimized Ac2SiSbPd6 structure. The functional is PBE.

Formation energy from raw total energies   -0.788 eV per atom

Lattice parameters (Å, degrees): 5.712 6.579 7.152 75.20 66.55 64.39
Space group P-1 (No. 2)
One atom of each set of equivalent atoms:
1 Ac 0.248 0.225 0.279 x2
2 Si 0.000 0.000 0.000 x1
3 Sb 0.500 0.500 0.500 x1
4 Pd 0.240 0.239 0.774 x2
5 Pd 0.244 0.618 0.893 x2
6 Pd 0.254 0.760 0.226 x2



6.
This record from Alexandria describes a geometry-optimized Ac2SmSb3Pd4 structure. The functional is PBE.

Formation energy from raw total energies   -0.939 eV per atom

Lattice parameters (Å, degrees): 4.652 4.652 11.560 90.00 90.00 90.00
Space group P-4m2 (No. 115)
One atom of each set of equivalent atoms:
1 Ac 0.000 0.500 0.217 x2
2 Sm 0.000 0.000 0.500 x1
3 Sb 0.000 0.500 0.875 x2
4 Sb 0.500 0.500 0.500 x1
5 Pd 0.000 0.000 0.000 x1
6 Pd 0.000 0.500 0.646 x2
7 Pd 0.500 0.500 0.000 x1



7.
This record from Alexandria describes a geometry-optimized Ac2SmSb4Pd3 structure. The functional is PBE.

Formation energy from raw total energies   -0.881 eV per atom

Lattice parameters (Å, degrees): 4.737 4.737 11.854 90.00 90.00 90.00
Space group P-4m2 (No. 115)
One atom of each set of equivalent atoms:
1 Ac 0.000 0.500 0.223 x2
2 Sm 0.000 0.000 0.500 x1
3 Sb 0.000 0.000 0.000 x1
4 Sb 0.000 0.500 0.657 x2
5 Sb 0.500 0.500 0.000 x1
6 Pd 0.000 0.500 0.883 x2
7 Pd 0.500 0.500 0.500 x1



8.
This record from Alexandria describes a geometry-optimized Ac3SnSb2Pd6 structure. The functional is PBE.

Formation energy from raw total energies   -0.814 eV per atom

Lattice parameters (Å, degrees): 5.9382 5.9382 9.9399 90.00 90.00 120.00
Space group P-3m1 (No. 164)
One atom of each set of equivalent atoms:
1 Ac 0.0000 0.0000 0.0000 x1
2 Ac 0.3333 0.6667 0.6251 x2
3 Sn 0.0000 0.0000 0.5000 x1
4 Sb 0.3333 0.6667 0.0812 x2
5 Pd 0.1688 0.3376 0.2907 x6



Q: Look up the formation energy from raw total energies of the fifth one.
A: -0.788 eV per atom



Please write out number 7 again, unchanged.
This record from Alexandria describes a geometry-optimized Ac2SmSb4Pd3 structure. The functional is PBE.

Formation energy from raw total energies   -0.881 eV per atom

Lattice parameters (Å, degrees): 4.737 4.737 11.854 90.00 90.00 90.00
Space group P-4m2 (No. 115)
One atom of each set of equivalent atoms:
1 Ac 0.000 0.500 0.223 x2
2 Sm 0.000 0.000 0.500 x1
3 Sb 0.000 0.000 0.000 x1
4 Sb 0.000 0.500 0.657 x2
5 Sb 0.500 0.500 0.000 x1
6 Pd 0.000 0.500 0.883 x2
7 Pd 0.500 0.500 0.500 x1



Q: Which of these has the lowest formation energy from raw total energies?
A: Ac2SbPdSe6



What did the sixth record say?
This record from Alexandria describes a geometry-optimized Ac2SmSb3Pd4 structure. The functional is PBE.

Formation energy from raw total energies   -0.939 eV per atom

Lattice parameters (Å, degrees): 4.652 4.652 11.560 90.00 90.00 90.00
Space group P-4m2 (No. 115)
One atom of each set of equivalent atoms:
1 Ac 0.000 0.500 0.217 x2
2 Sm 0.000 0.000 0.500 x1
3 Sb 0.000 0.500 0.875 x2
4 Sb 0.500 0.500 0.500 x1
5 Pd 0.000 0.000 0.000 x1
6 Pd 0.000 0.500 0.646 x2
7 Pd 0.500 0.500 0.000 x1